Density functional theory data (GGA-PBE) for an optimized crystal structure of CsLa3In.

The structure belongs to space group Pm-3m (No. 221); the cell edges are 5.8608, 5.8608 and 5.8608 Å and the angles 90.00°, 90.00° and 90.00°. The distinct sites, in fractional coordinates, are Cs at (0.0000, 0.0000, 0.0000), La at (0.0000, 0.0000, 0.5000) and In at (0.5000, 0.5000, 0.5000).

The value obtained for the density of states at the Fermi level is 1.1698 states/eV/atom. Its distance to the lowest polymorph of the same formula is 516 meV/atom. Its energy of formation from the pure elements is 0.849 eV per atom.

Density functional theory data (GGA-PBE) for an optimized crystal structure of Ho4Ir3.

The structure belongs to space group R-3m (No. 166, hexagonal axes); the cell edges are 4.7900, 4.7900 and 23.5935 Å and the angles 90.00°, 90.00° and 120.00°. The distinct sites, in fractional coordinates, are Ho at (0.0000, 0.0000, 0.1239), Ho at (0.0000, 0.0000, 0.3745), Ir at (0.0000, 0.0000, 0.2501) and Ir at (0.0000, 0.0000, 0.5000).

The value obtained for the density of states at the Fermi level is 0.4820 states/eV/atom. Its energy of formation from the pure elements is -0.842 eV per atom.

Density functional theory data (GGA-PBE) for an optimized crystal structure of SrTcRh.

The structure belongs to space group Pm (No. 6); the cell edges are 5.2169, 4.4706 and 5.9341 Å and the angles 90.00°, 108.09° and 90.00°. The distinct sites, in fractional coordinates, are Sr at (0.0000, 0.0000, 0.0000), Sr at (0.4956, 0.5000, 0.9337), Tc at (0.1690, 0.0000, 0.5262), Tc at (0.8771, 0.5000, 0.5051), Rh at (0.3325, 0.5000, 0.3998) and Rh at (0.6263, 0.0000, 0.4124).

The value obtained for the density of states at the Fermi level is 1.0436 states/eV/atom. Its distance to the lowest polymorph of the same formula is 84 meV/atom. Its energy of formation from the pure elements is 0.175 eV per atom.

Density functional theory data (GGA-PBE) for an optimized crystal structure of K2Na5Li.

The structure belongs to space group I4/mmm (No. 139); the cell edges are 5.7149, 5.7149 and 20.8146 Å and the angles 90.00°, 90.00° and 90.00°. The distinct sites, in fractional coordinates, are K at (0.0000, 0.0000, 0.2476), Na at (0.0000, 0.0000, 0.5000), Na at (0.0000, 0.5000, 0.1001) and Li at (0.0000, 0.0000, 0.0000).

The value obtained for the density of states at the Fermi level is 0.5879 states/eV/atom. Its distance to the lowest polymorph of the same formula is 0 meV/atom. Its energy of formation from the pure elements is 0.050 eV per atom.

Density functional theory data (GGA-PBE) for an optimized crystal structure of K7NaAu2.

The structure belongs to space group Cmmm (No. 65); the cell edges are 10.6775, 16.8011 and 6.4103 Å and the angles 90.00°, 90.00° and 90.00°. The distinct sites, in fractional coordinates, are K at (0.0000, 0.0000, 0.0000), K at (0.0000, 0.2076, 0.5000), K at (0.1894, 0.3630, 0.0000), Na at (0.0000, 0.5000, 0.5000) and Au at (0.0000, 0.1984, 0.0000).

The value obtained for the density of states at the Fermi level is 0.6659 states/eV/atom. Its energy of formation from the pure elements is -0.087 eV per atom.

Density functional theory data (GGA-PBE) for an optimized crystal structure of La2AlGaC.

The structure belongs to space group P4/mmm (No. 123); the cell edges are 5.3708, 5.3708 and 3.9531 Å and the angles 90.00°, 90.00° and 90.00°. The distinct sites, in fractional coordinates, are La at (0.0000, 0.5000, 0.0000), Al at (0.0000, 0.0000, 0.5000), Ga at (0.5000, 0.5000, 0.5000) and C at (0.0000, 0.0000, 0.0000).

The value obtained for the density of states at the Fermi level is 0.4872 states/eV/atom. Its energy of formation from the pure elements is -0.317 eV per atom.

Density functional theory data (GGA-PBE) for an optimized crystal structure of MgIn2Br8.

The structure belongs to space group C2/c (No. 15); the cell edges are 19.2287, 9.0732 and 13.1106 Å and the angles 90.00°, 130.38° and 90.00°. The distinct sites, in fractional coordinates, are Mg at (0.0000, 0.0027, 0.2500), In at (0.0834, 0.2452, 0.5331), Br at (0.0762, 0.2088, 0.1983), Br at (0.0848, 0.2272, 0.7302), Br at (0.1504, 0.0112, 0.5115) and Br at (0.1580, 0.4810, 0.5555).

The value obtained for the density of states at the Fermi level is 0.0000 states/eV/atom. Its distance to the lowest polymorph of the same formula is 0 meV/atom.

Density functional theory data (GGA-PBE) for an optimized crystal structure of SiSb2P.

The structure belongs to space group Cmmm (No. 65); the cell edges are 5.7954, 7.9302 and 3.9766 Å and the angles 90.00°, 90.00° and 90.00°. The distinct sites, in fractional coordinates, are Si at (0.0000, 0.0000, 0.0000), Sb at (0.0000, 0.2485, 0.5000) and P at (0.0000, 0.5000, 0.0000).

The value obtained for the density of states at the Fermi level is 0.4391 states/eV/atom. Its distance to the lowest polymorph of the same formula is 245 meV/atom.

Density functional theory data (GGA-PBE) for an optimized crystal structure of LaZnCo.

The structure belongs to space group I4mm (No. 107); the cell edges are 3.2853, 3.2853 and 10.8576 Å and the angles 90.00°, 90.00° and 90.00°. The distinct sites, in fractional coordinates, are La at (0.0000, 0.0000, 0.0000), Zn at (0.0000, 0.0000, 0.7225) and Co at (0.0000, 0.0000, 0.3250).

The value obtained for the density of states at the Fermi level is 0.8503 states/eV/atom. Its energy of formation from the pure elements is -0.005 eV per atom.

Density functional theory data (GGA-PBE) for an optimized crystal structure of GeHRu2Rh.

The structure belongs to space group P4/mmm (No. 123); the cell edges are 3.9237, 3.9237 and 3.8571 Å and the angles 90.00°, 90.00° and 90.00°. The distinct sites, in fractional coordinates, are Ge at (0.0000, 0.0000, 0.0000), H at (0.5000, 0.5000, 0.5000), Ru at (0.0000, 0.5000, 0.5000) and Rh at (0.5000, 0.5000, 0.0000).

The value obtained for the density of states at the Fermi level is 1.3315 states/eV/atom. The calculation puts the total energy at -6.75 eV per atom.

Density functional theory data (GGA-PBE) for an optimized crystal structure of Dy4SbSeS2.

The structure belongs to space group Imma (No. 74); the cell edges are 8.1336, 8.1660 and 11.5242 Å and the angles 90.00°, 90.00° and 90.00°. The distinct sites, in fractional coordinates, are Dy at (0.0000, 0.0226, 0.2432), Dy at (0.2369, 0.2500, 0.0107), Sb at (0.2500, 0.2500, 0.7500), Se at (0.0000, 0.0000, 0.5000), S at (0.0000, 0.0000, 0.0000) and S at (0.2500, 0.2500, 0.2500).

The value obtained for the density of states at the Fermi level is 0.3999 states/eV/atom. The calculation puts the total energy at -5.98 eV per atom.

Density functional theory data (GGA-PBE) for an optimized crystal structure of RbRuSeN2.

The structure belongs to space group P4/mmm (No. 123); the cell edges are 4.0332, 4.0332 and 5.3293 Å and the angles 90.00°, 90.00° and 90.00°. The distinct sites, in fractional coordinates, are Rb at (0.0000, 0.0000, 0.0000), Ru at (0.5000, 0.5000, 0.5000), Se at (0.5000, 0.5000, 0.0000) and N at (0.0000, 0.5000, 0.5000).

The value obtained for the density of states at the Fermi level is 0.8789 states/eV/atom. Its distance to the lowest polymorph of the same formula is 0 meV/atom.

Density functional theory data (GGA-PBE) for an optimized crystal structure of TiAs2PtBr.

The structure belongs to space group P4/mmm (No. 123); the cell edges are 4.8737, 4.8737 and 5.1818 Å and the angles 90.00°, 90.00° and 90.00°. The distinct sites, in fractional coordinates, are Ti at (0.0000, 0.0000, 0.0000), As at (0.0000, 0.5000, 0.5000), Pt at (0.5000, 0.5000, 0.5000) and Br at (0.5000, 0.5000, 0.0000).

The value obtained for the density of states at the Fermi level is 0.9756 states/eV/atom. Its distance to the lowest polymorph of the same formula is 101 meV/atom.

Density functional theory data (GGA-PBE) for an optimized crystal structure of CaCd2PdAu4.

The structure belongs to space group R-3m (No. 166, hexagonal axes); the cell edges are 4.7972, 4.7972 and 23.5928 Å and the angles 90.00°, 90.00° and 120.00°. The distinct sites, in fractional coordinates, are Ca at (0.0000, 0.0000, 0.0000), Cd at (0.0000, 0.0000, 0.2493), Pd at (0.0000, 0.0000, 0.5000), Au at (0.0000, 0.0000, 0.1285) and Au at (0.0000, 0.0000, 0.3811).

The value obtained for the density of states at the Fermi level is 0.4034 states/eV/atom. Its energy of formation from the pure elements is -0.347 eV per atom.

Density functional theory data (GGA-PBE) for an optimized crystal structure of TaNiBr3.

The structure belongs to space group Pm-3m (No. 221); the cell edges are 4.8616, 4.8616 and 4.8616 Å and the angles 90.00°, 90.00° and 90.00°. The distinct sites, in fractional coordinates, are Ta at (0.0000, 0.0000, 0.0000), Ni at (0.5000, 0.5000, 0.5000) and Br at (0.0000, 0.5000, 0.5000).

The value obtained for the density of states at the Fermi level is 1.3148 states/eV/atom. Its distance to the lowest polymorph of the same formula is 170 meV/atom.

Density functional theory data (GGA-PBE) for an optimized crystal structure of Hf2ZnInSb.

The structure belongs to space group P4/mmm (No. 123); the cell edges are 5.0712, 5.0712 and 4.7206 Å and the angles 90.00°, 90.00° and 90.00°. The distinct sites, in fractional coordinates, are Hf at (0.0000, 0.5000, 0.0000), Zn at (0.0000, 0.0000, 0.0000), In at (0.0000, 0.0000, 0.5000) and Sb at (0.5000, 0.5000, 0.5000).

The value obtained for the density of states at the Fermi level is 0.9415 states/eV/atom. The calculation puts the total energy at -5.13 eV per atom.

Density functional theory data (GGA-PBE) for an optimized crystal structure of Nd8GeAs5.

The structure belongs to space group I-4 (No. 82); the cell edges are 9.0626, 9.0626 and 9.0662 Å and the angles 90.00°, 90.00° and 90.00°. The distinct sites, in fractional coordinates, are Nd at (0.0650, 0.1824, 0.3090), Nd at (0.0668, 0.3167, 0.9418), Ge at (0.0000, 0.5000, 0.2500), As at (0.0000, 0.0000, 0.0000) and As at (0.1255, 0.2512, 0.6248).

The value obtained for the density of states at the Fermi level is 0.9511 states/eV/atom. Its energy of formation from the pure elements is -1.196 eV per atom.

Density functional theory data (GGA-PBE) for an optimized crystal structure of MgZrCoBi2.

The structure belongs to space group P4/mmm (No. 123); the cell edges are 5.1278, 5.1278 and 4.8365 Å and the angles 90.00°, 90.00° and 90.00°. The distinct sites, in fractional coordinates, are Mg at (0.0000, 0.0000, 0.0000), Zr at (0.5000, 0.5000, 0.0000), Co at (0.5000, 0.5000, 0.5000) and Bi at (0.0000, 0.5000, 0.5000).

The value obtained for the density of states at the Fermi level is 0.8781 states/eV/atom. Its energy of formation from the pure elements is 0.288 eV per atom.

Density functional theory data (GGA-PBE) for an optimized crystal structure of La2ZnS.

The structure belongs to space group R3m (No. 160, hexagonal axes); the cell edges are 4.0862, 4.0862 and 23.3107 Å and the angles 90.00°, 90.00° and 120.00°. The distinct sites, in fractional coordinates, are La at (0.0000, 0.0000, 0.0000), La at (0.0000, 0.0000, 0.1876), Zn at (0.0000, 0.0000, 0.4270) and S at (0.0000, 0.0000, 0.5957).

The value obtained for the density of states at the Fermi level is 0.6491 states/eV/atom. Its distance to the lowest polymorph of the same formula is 0 meV/atom.

Density functional theory data (GGA-PBE) for an optimized crystal structure of Y2NbFeB.

The structure belongs to space group P4/mmm (No. 123); the cell edges are 5.4002, 5.4002 and 4.1686 Å and the angles 90.00°, 90.00° and 90.00°. The distinct sites, in fractional coordinates, are Y at (0.0000, 0.5000, 0.0000), Nb at (0.0000, 0.0000, 0.0000), Fe at (0.5000, 0.5000, 0.5000) and B at (0.0000, 0.0000, 0.5000).

The value obtained for the density of states at the Fermi level is 2.1881 states/eV/atom. Its energy of formation from the pure elements is 1.185 eV per atom.

Density functional theory data (GGA-PBE) for an optimized crystal structure of HfTlTe2H.

The structure belongs to space group P4/mmm (No. 123); the cell edges are 5.6737, 5.6737 and 4.0979 Å and the angles 90.00°, 90.00° and 90.00°. The distinct sites, in fractional coordinates, are Hf at (0.0000, 0.0000, 0.0000), Tl at (0.5000, 0.5000, 0.5000), Te at (0.0000, 0.5000, 0.0000) and H at (0.0000, 0.0000, 0.5000).

The value obtained for the density of states at the Fermi level is 0.3547 states/eV/atom. The calculation puts the total energy at -4.73 eV per atom.

Density functional theory data (GGA-PBE) for an optimized crystal structure of TcPRh2.

The structure belongs to space group Imm2 (No. 44); the cell edges are 2.8473, 4.3344 and 8.9206 Å and the angles 90.00°, 90.00° and 90.00°. The distinct sites, in fractional coordinates, are Tc at (0.0000, 0.0000, 0.0000), P at (0.0000, 0.5000, 0.2913), Rh at (0.0000, 0.0000, 0.5830) and Rh at (0.0000, 0.5000, 0.7874).

The value obtained for the density of states at the Fermi level is 1.1427 states/eV/atom. Its energy of formation from the pure elements is -0.274 eV per atom.

Density functional theory data (GGA-PBE) for an optimized crystal structure of Ag2IrBr.

The structure belongs to space group Cmmm (No. 65); the cell edges are 3.0177, 5.0334 and 9.8201 Å and the angles 90.00°, 90.00° and 90.00°. The distinct sites, in fractional coordinates, are Ag at (0.0000, 0.0000, 0.2360), Ir at (0.0000, 0.5000, 0.0000) and Br at (0.0000, 0.5000, 0.5000).

The value obtained for the density of states at the Fermi level is 1.0124 states/eV/atom. Its distance to the lowest polymorph of the same formula is 64 meV/atom.

Density functional theory data (GGA-PBE) for an optimized crystal structure of TlTe2Pd2.

The structure belongs to space group I4/mmm (No. 139); the cell edges are 4.3948, 4.3948 and 13.4634 Å and the angles 90.00°, 90.00° and 90.00°. The distinct sites, in fractional coordinates, are Tl at (0.0000, 0.0000, 0.0000), Te at (0.0000, 0.0000, 0.3654) and Pd at (0.0000, 0.5000, 0.2500).

The value obtained for the density of states at the Fermi level is 0.6631 states/eV/atom. Its distance to the lowest polymorph of the same formula is 0 meV/atom.

Density functional theory data (GGA-PBE) for an optimized crystal structure of RbFe4Os2.

The structure belongs to space group I4/mmm (No. 139); the cell edges are 4.7123, 4.7123 and 12.6360 Å and the angles 90.00°, 90.00° and 90.00°. The distinct sites, in fractional coordinates, are Rb at (0.0000, 0.0000, 0.0000), Fe at (0.0000, 0.0000, 0.2220), Fe at (0.0000, 0.5000, 0.0000) and Os at (0.0000, 0.0000, 0.4035).

The value obtained for the density of states at the Fermi level is 1.5025 states/eV/atom. Its energy of formation from the pure elements is 2.163 eV per atom.

Density functional theory data (GGA-PBE) for an optimized crystal structure of Zn2SiW.

The structure belongs to space group I-4m2 (No. 119); the cell edges are 3.7292, 3.7292 and 8.1611 Å and the angles 90.00°, 90.00° and 90.00°. The distinct sites, in fractional coordinates, are Zn at (0.0000, 0.0000, 0.0000), Zn at (0.0000, 0.5000, 0.2500), Si at (0.0000, 0.0000, 0.5000) and W at (0.0000, 0.5000, 0.7500).

The value obtained for the density of states at the Fermi level is 0.1219 states/eV/atom. The calculation puts the total energy at -5.16 eV per atom.